Compound: FeCu2AsF
Source: Alexandria
Functional: PBE with a Hubbard U
Structure: relaxed

```
5
Lattice="3.916 0.000 0.000 0.000 3.916 0.000 0.000 0.000 5.390" Properties=species:S:1:pos:R:3 pbc="T T T"
Fe 0.000 0.000 0.000
Cu 0.000 1.958 2.695
Cu 1.958 0.000 2.695
As 1.958 1.958 0.000
F 1.958 1.958 2.695
```

Calculated values
- DFT total energy (eV per formula unit) = -19.1
- space group = P4/mmm, No. 123
- ρ (g/cm³) = 5.6
- D(E_F) (states/eV per cell) = 1.1